No. 1
A plane-wave DFT calculation with PBE was carried out for an optimized crystal structure of K2SiMo.

The calculation puts the magnetic moment at 2.3 μB per formula unit. For the mass density, the calculation gives 2.21 g/cm3.

It has space group R3m (No. 160, hexagonal axes), with a = 4.2915 Å, b = 4.2915 Å, c = 28.6374 Å, α = 90.00°, β = 90.00° and γ = 120.00°. The asymmetric unit holds K at (0.0000, 0.0000, 0.0000), K at (0.0000, 0.0000, 0.1819), Si at (0.0000, 0.0000, 0.4242) and Mo at (0.0000, 0.0000, 0.7577).

No. 2
A plane-wave DFT calculation with PBE was carried out for an optimized crystal structure of K2SiMo.

The calculation puts the magnetic moment at 0.6 μB per formula unit. For the mass density, the calculation gives 2.66 g/cm3.

It has space group Pm (No. 6), with a = 3.4924 Å, b = 3.4945 Å, c = 10.3326 Å, α = 90.00°, β = 90.63° and γ = 90.00°. The asymmetric unit holds K at (0.0000, 0.0000, 0.0000), K at (0.4688, 0.5000, 0.4028), Si at (0.4795, 0.0000, 0.7014) and Mo at (0.9793, 0.5000, 0.7015).

No. 3
A plane-wave DFT calculation with PBE was carried out for an optimized crystal structure of KSiMo.

The calculation puts the magnetic moment at 0.0 μB per formula unit. The calculation puts the offset from the most stable computed form at 0.63 eV/f.u. For the mass density, the calculation gives 4.50 g/cm3.

It has space group Fmm2 (No. 42), with a = 3.5576 Å, b = 4.4353 Å, c = 15.2709 Å, α = 90.00°, β = 90.00° and γ = 90.00°. The asymmetric unit holds K at (0.0000, 0.0000, 0.0000), Si at (0.0000, 0.0000, 0.6786) and Mo at (0.0000, 0.0000, 0.2978).

No. 4
A plane-wave DFT calculation with PBE was carried out for an optimized crystal structure of KSiMo.

The calculation puts the magnetic moment at 0.0 μB per formula unit. The calculation puts the offset from the most stable computed form at 0.87 eV/f.u. For the mass density, the calculation gives 4.51 g/cm3.

It has space group P3m1 (No. 156), with a = 2.9619 Å, b = 2.9619 Å, c = 7.9095 Å, α = 90.00°, β = 90.00° and γ = 120.00°. The asymmetric unit holds K at (0.0000, 0.0000, 0.0000), Si at (0.3333, 0.6667, 0.6414) and Mo at (0.6667, 0.3333, 0.3930).

No. 5
A plane-wave DFT calculation with PBE was carried out for an optimized crystal structure of KSiMo.

The calculation puts the magnetic moment at 0.6 μB per formula unit. The calculation puts the offset from the most stable computed form at 0.00 eV/f.u. For the mass density, the calculation gives 3.61 g/cm3.

It has space group I4mm (No. 107), with a = 3.4332 Å, b = 3.4332 Å, c = 12.7329 Å, α = 90.00°, β = 90.00° and γ = 90.00°. The asymmetric unit holds K at (0.0000, 0.0000, 0.0000), Si at (0.0000, 0.0000, 0.2545) and Mo at (0.0000, 0.0000, 0.7367).

No. 6
A plane-wave DFT calculation with PBE was carried out for an optimized crystal structure of K4SiMo.

The calculation puts the magnetic moment at 4.9 μB per formula unit. For the mass density, the calculation gives 2.09 g/cm3.

It has space group F-43m (No. 216), with a = 9.6168 Å, b = 9.6168 Å, c = 9.6168 Å, α = 90.00°, β = 90.00° and γ = 90.00°. The asymmetric unit holds K at (0.1239, 0.1239, 0.3761), Si at (0.2500, 0.2500, 0.7500) and Mo at (0.0000, 0.0000, 0.0000).

| no. | formation energy (no corrections) (eV per atom) |
| --- | --- |
| 1 | 0.53 |
| 2 | 0.37 |
| 3 | 0.62 |
| 4 | 0.70 |
| 5 | 0.41 |
| 6 | 1.26 |